{
  "formula": "Rb3Na8Ca",
  "functional": "GGA-PBE",
  "state": "relaxed",
  "lattice": [[7.3848, 0.0000, 0.0000], [-3.6924, 6.3954, 0.0000], [0.0000, 0.0000, 12.1042]],
  "species": ["Rb", "Rb", "Rb", "Na", "Na", "Na", "Na", "Na", "Na", "Na", "Na", "Ca"],
  "frac_coords": [[0.6667, 0.3333, 0.4433], [0.6667, 0.3333, 0.0633], [0.0000, 0.0000, 0.9274], [0.3333, 0.6667, 0.5021], [0.3333, 0.6667, 0.0023], [0.5005, 0.0010, 0.7385], [0.5005, 0.4995, 0.7385], [0.9990, 0.4995, 0.7385], [0.1635, 0.3271, 0.2618], [0.1635, 0.8365, 0.2618], [0.6729, 0.8365, 0.2618], [0.0000, 0.0000, 0.5609]],
  "dos_ef_per_ev_cell": 7.30,
  "e_form_kj_per_mol_fu": 48,
  "magnetic_moment_mub_per_cell": 0.000,
  "final_energy_ev_per_atom": -1.25,
  "spacegroup": "P3m1, No. 156"
}